Compound: Zr2TlTe2
Source: Alexandria
Functional: GGA-PBE
Structure: optimized geometry

POSCAR file:
```
Zr2TlTe2
1.0
8.166 0.000 0.000
0.000 8.166 0.000
0.000 0.000 3.713
Zr Tl Te
4 2 4
direct
0.146 0.354 0.000
0.354 0.854 0.000
0.646 0.146 0.000
0.854 0.646 0.000
0.000 0.000 0.000
0.500 0.500 0.000
0.145 0.645 0.500
0.355 0.145 0.500
0.645 0.855 0.500
0.855 0.355 0.500
```

Computed properties:
* polymorph energy (0 for the lowest one): 0 meV/atom
* density: 8.6 g/cm3
* D(E_F): 7.73 states/eV per cell
* formation energy without anion corrections: -534 meV per atom